Crystalline K2GeF6 at its relaxed geometry, computed with GGA-PBE.

D(E_F): 0.00 states/eV per cell
space group: P6_3mc (186)
formation energy (no corrections): -2757 meV per atom

Cell lengths 5.838, 5.838, 9.532 Å; angles 90.00, 90.00, 120.00 degrees
Positions (direct):
K 0.000 0.000 0.000
K 0.000 0.000 0.500
K 0.333 0.667 0.277
K 0.667 0.333 0.777
Ge 0.333 0.667 0.663
Ge 0.667 0.333 0.163
F 0.039 0.519 0.550
F 0.182 0.365 0.770
F 0.182 0.818 0.770
F 0.365 0.182 0.270
F 0.481 0.519 0.550
F 0.481 0.961 0.550
F 0.519 0.039 0.050
F 0.519 0.481 0.050
F 0.635 0.818 0.770
F 0.818 0.182 0.270
F 0.818 0.635 0.270
F 0.961 0.481 0.050